The following is a DFT calculation (PBE-GGA) of an optimized crystal structure of HfCdCoCu2.

abc: 4.572 4.572 4.707
angles: 90.00 90.00 90.00
Element x y z (fractional)
Hf  0.000  0.000  0.000
Cd  0.500  0.500  0.500
Co  0.500  0.500  0.000
Cu  0.000  0.500  0.500
Cu  0.500  0.000  0.500

The following is a DFT calculation (PBE-GGA) of an optimized crystal structure of La2CdCoCu.

abc: 5.197 5.197 4.761
angles: 90.00 90.00 90.00
Element x y z (fractional)
La  0.000  0.500  0.000
La  0.500  0.000  0.000
Cd  0.000  0.000  0.500
Co  0.500  0.500  0.000
Cu  0.500  0.500  0.500

The following is a DFT calculation (PBE-GGA) of an optimized crystal structure of La2CdCoCu.

abc: 5.184 5.184 4.991
angles: 90.00 90.00 90.00
Element x y z (fractional)
La  0.000  0.500  0.000
La  0.500  0.000  0.000
Cd  0.000  0.000  0.500
Co  0.000  0.000  0.000
Cu  0.500  0.500  0.500

The following is a DFT calculation (PBE-GGA) of an optimized crystal structure of La6Cd2CoCu.

abc: 7.759 7.759 7.759
angles: 60.00 60.00 60.00
Element x y z (fractional)
La  0.243  0.243  0.757
La  0.243  0.757  0.243
La  0.243  0.757  0.757
La  0.757  0.243  0.243
La  0.757  0.243  0.757
La  0.757  0.757  0.243
Cd  0.250  0.250  0.250
Cd  0.750  0.750  0.750
Co  0.000  0.000  0.000
Cu  0.500  0.500  0.500

The following is a DFT calculation (PBE-GGA) of an optimized crystal structure of LuCdCoCu.

abc: 4.577 4.577 4.577
angles: 60.00 60.00 60.00
Element x y z (fractional)
Lu  0.000  0.000  0.000
Cd  0.500  0.500  0.500
Co  0.250  0.250  0.250
Cu  0.750  0.750  0.750

The following is a DFT calculation (PBE-GGA) of an optimized crystal structure of CdCoCuMo2.

abc: 4.924 4.924 4.543
angles: 90.00 90.00 90.00
Element x y z (fractional)
Cd  0.000  0.000  0.000
Co  0.000  0.000  0.500
Cu  0.500  0.500  0.500
Mo  0.000  0.500  0.000
Mo  0.500  0.000  0.000

The following is a DFT calculation (PBE-GGA) of an optimized crystal structure of CdCoCu2Mo.

abc: 4.486 4.486 4.291
angles: 90.00 90.00 90.00
Element x y z (fractional)
Cd  0.000  0.000  0.000
Co  0.500  0.500  0.500
Cu  0.000  0.500  0.500
Cu  0.500  0.000  0.500
Mo  0.500  0.500  0.000

For the records above, the corresponding VASP energy values read -4.119; -4.469; -4.415; -4.291; -4.220; -4.196; -4.560 eV per atom.
For the records above, the corresponding energy relative to the elements values read 1.1145; -0.0745; -0.0208; -0.0317; -0.0605; 2.5599; 0.8487 eV per atom.
For the records above, the corresponding D(E_F) values read 5.3; 3.9; 3.7; 18.2; 2.8; 9.9; 5.4 states/eV/cell.